The following is a PBE+U calculation of CaFeF5 after structural relaxation, from Alexandria via LeMat-Bulk.

a b c (Å): 5.574 10.232 7.719
angles (deg): 90.00 109.97 90.00
Space group P2_1/c (No. 14)
Inequivalent atoms, fractional coordinates:
1 Ca 0.029 0.019 0.254
2 Fe 0.395 0.246 0.600
3 F 0.112 0.118 0.557
4 F 0.143 0.112 0.005
5 F 0.329 0.636 0.360
6 F 0.347 0.203 0.337
7 F 0.378 0.604 0.811

Results
Total DFT energy (no corrections), eV/atom: -5.5378
Total magnetization, μB/cell: 19.9
Volume, A^3/atom: 14.8